*one*
This record from Alexandria describes crystalline SrTc at its relaxed geometry. The functional is GGA-PBEsol.

Values from the calculation:
The density of states at the Fermi level comes out at 4.3 states/eV per cell. As for the symmetry: Imma (74).

Cell lengths 3.763, 5.402, 6.052 Å; angles 116.51, 108.11, 90.00 degrees
Fractional coordinates of all 4 atoms:
Sr 0.396 0.646 0.792
Sr 0.604 0.354 0.208
Tc 0.814 0.064 0.628
Tc 0.186 0.936 0.372

***

*two*
This record from Alexandria describes crystalline SrTc at its relaxed geometry. The functional is GGA-PBEsol.

Values from the calculation:
The density of states at the Fermi level comes out at 5.6 states/eV per cell. As for the symmetry: R-3m (166).

Cell lengths 4.864, 4.864, 4.864 Å; angles 66.86, 66.86, 66.86 degrees
Fractional coordinates of all 4 atoms:
Sr 0.638 0.638 0.638
Tc 0.904 0.904 0.904
Sr 0.362 0.362 0.362
Tc 0.096 0.096 0.096

***

*three*
This record from Alexandria describes crystalline SrTc at its relaxed geometry. The functional is GGA-PBEsol.

Values from the calculation:
The density of states at the Fermi level comes out at 3.9 states/eV per cell. As for the symmetry: F-43m (216).

Cell lengths 4.742, 4.742, 4.742 Å; angles 60.00, 60.00, 60.00 degrees
Each line ends with the local moment (μB).
Fractional coordinates of all 2 atoms:
Tc 0.250 0.250 0.250  2.73
Sr 0.000 0.000 0.000  0.07

***

Relative calculated energies, zero for the most stable structure, unit eV/atom: *one* 0.000; *two* 0.317; *three* 2.114.

***

*one*
This record from Alexandria describes crystalline Sr2Tc at its relaxed geometry. The functional is GGA-PBEsol.

Values from the calculation:
The density of states at the Fermi level comes out at 6.2 states/eV per cell. As for the symmetry: Fm-3m (225).

Cell lengths 5.203, 5.203, 5.203 Å; angles 60.00, 60.00, 60.00 degrees
Each line ends with the local moment (μB).
Fractional coordinates of all 3 atoms:
Sr 0.250 0.250 0.250  -0.02
Tc 0.000 0.000 0.000  1.57
Sr 0.750 0.750 0.750  -0.02

***

*two*
This record from Alexandria describes crystalline Sr2Tc at its relaxed geometry. The functional is GGA-PBEsol.

Values from the calculation:
The density of states at the Fermi level comes out at 3.4 states/eV per cell. As for the symmetry: I4/mmm (139).

Cell lengths 3.566, 3.566, 7.798 Å; angles 103.22, 103.22, 90.00 degrees
Each line ends with the local moment (μB).
Fractional coordinates of all 3 atoms:
Sr 0.627 0.627 0.255  0.01
Tc 0.000 0.000 0.000  1.43
Sr 0.373 0.373 0.745  0.01

***

Relative calculated energies, zero for the most stable structure, unit eV/atom: *one* 0.287; *two* 0.000.

***

*one*
This record from Alexandria describes crystalline SrTc3 at its relaxed geometry. The functional is GGA-PBEsol.

Values from the calculation:
The density of states at the Fermi level comes out at 4.4 states/eV per cell. As for the symmetry: R-3m (166).

Cell lengths 2.650, 5.464, 5.464 Å; angles 117.44, 99.30, 99.30 degrees
Fractional coordinates of all 4 atoms:
Tc 0.500 0.500 0.000
Tc 0.500 0.000 0.500
Tc 0.000 0.500 0.500
Sr 0.000 0.000 0.000

***

*two*
This record from Alexandria describes crystalline SrTc3 at its relaxed geometry. The functional is GGA-PBEsol.

Values from the calculation:
The density of states at the Fermi level comes out at 3.6 states/eV per cell. As for the symmetry: Immm (71).

Cell lengths 3.005, 5.015, 5.523 Å; angles 117.00, 105.78, 90.00 degrees
Fractional coordinates of all 4 atoms:
Tc 0.786 0.286 0.571
Tc 0.500 0.500 0.000
Sr 0.000 0.000 0.000
Tc 0.214 0.714 0.429

***

*three*
This record from Alexandria describes crystalline SrTc3 at its relaxed geometry. The functional is GGA-PBEsol.

Values from the calculation:
The density of states at the Fermi level comes out at 3.6 states/eV per cell. As for the symmetry: C2/m (12).

Cell lengths 3.018, 4.875, 5.780 Å; angles 103.60, 90.00, 108.03 degrees
Fractional coordinates of all 4 atoms:
Sr 0.000 0.000 0.000
Tc 0.214 0.428 0.650
Tc 0.500 0.000 0.500
Tc 0.786 0.572 0.350

***

Relative calculated energies, zero for the most stable structure, unit eV/atom: *one* 0.322; *two* 0.170; *three* 0.000.

***

*one*
This record from Alexandria describes crystalline SrTe2W at its relaxed geometry. The functional is GGA-PBEsol.

Values from the calculation:
The density of states at the Fermi level comes out at 3.7 states/eV per cell. As for the symmetry: R-3m (166).

Cell lengths 4.809, 4.809, 9.144 Å; angles 74.75, 74.75, 60.00 degrees
Each line ends with the local moment (μB).
Fractional coordinates of all 4 atoms:
Te 0.100 0.100 0.700  -0.06
Sr 0.500 0.500 0.500  0.01
Te 0.900 0.900 0.300  -0.06
W 0.000 0.000 0.000  2.84

***

*two*
This record from Alexandria describes crystalline SrTe2W at its relaxed geometry. The functional is GGA-PBEsol.

Values from the calculation:
The density of states at the Fermi level comes out at 2.1 states/eV per cell. As for the symmetry: P4mm (99).

Cell lengths 4.155, 4.155, 6.529 Å; angles 90.00, 90.00, 90.00 degrees
Each line ends with the local moment (μB).
Fractional coordinates of all 4 atoms:
Te 0.000 0.000 0.964  0.02
Sr 0.500 0.500 0.811  0.04
W 0.000 0.000 0.393  2.41
Te 0.500 0.500 0.332  0.00

***

Relative calculated energies, zero for the most stable structure, unit eV/atom: *one* 0.481; *two* 0.000.

***

*one*
This record from Alexandria describes crystalline Sr5Tl3 at its relaxed geometry. The functional is GGA-PBEsol.

Values from the calculation:
The density of states at the Fermi level comes out at 19.4 states/eV per cell. As for the symmetry: I4/mcm (140).

Cell lengths 8.736, 9.992, 8.736 Å; angles 115.92, 90.00, 115.92 degrees
Fractional coordinates of all 16 atoms:
Sr 0.500 0.000 0.500
Tl 0.250 0.500 0.250
Tl 0.378 0.000 0.122
Sr 0.525 0.708 0.025
Sr 0.475 0.292 0.975
Sr 0.975 0.292 0.817
Tl 0.878 0.000 0.378
Sr 0.000 0.000 0.000
Sr 0.817 0.292 0.317
Sr 0.683 0.708 0.525
Sr 0.025 0.708 0.183
Tl 0.750 0.500 0.750
Tl 0.622 0.000 0.878
Sr 0.317 0.292 0.475
Sr 0.183 0.708 0.683
Tl 0.122 0.000 0.622

***

*two*
This record from Alexandria describes crystalline Sr5Tl3 at its relaxed geometry. The functional is GGA-PBEsol.

Values from the calculation:
The density of states at the Fermi level comes out at 13.0 states/eV per cell. As for the symmetry: P6_3/mcm (193).

Cell lengths 6.838, 10.052, 10.052 Å; angles 120.00, 90.00, 90.00 degrees
Fractional coordinates of all 16 atoms:
Tl 0.250 0.607 0.607
Sr 0.750 0.268 0.000
Sr 0.500 0.333 0.667
Tl 0.250 0.393 0.000
Sr 0.250 0.268 0.268
Sr 0.000 0.667 0.333
Sr 0.250 0.732 0.000
Tl 0.750 0.607 0.000
Sr 0.750 0.732 0.732
Sr 0.750 0.000 0.268
Tl 0.750 0.000 0.607
Sr 0.000 0.333 0.667
Sr 0.250 0.000 0.732
Sr 0.500 0.667 0.333
Tl 0.750 0.393 0.393
Tl 0.250 0.000 0.393

***

Relative calculated energies, zero for the most stable structure, unit eV/atom: *one* 0.000; *two* 0.008.

***

*one*
This record from Alexandria describes crystalline SrYTl at its relaxed geometry. The functional is GGA-PBEsol.

Values from the calculation:
The density of states at the Fermi level comes out at 2.1 states/eV per cell. As for the symmetry: F-43m (216).

Cell lengths 5.342, 5.342, 5.342 Å; angles 60.00, 60.00, 60.00 degrees
Fractional coordinates of all 3 atoms:
Sr 0.500 0.500 0.500
Tl 0.250 0.250 0.250
Y 0.000 0.000 0.000

***

*two*
This record from Alexandria describes crystalline SrYTl at its relaxed geometry. The functional is GGA-PBEsol.

Values from the calculation:
The density of states at the Fermi level comes out at 0.4 states/eV per cell. As for the symmetry: Pnma (62).

Cell lengths 5.164, 8.326, 9.060 Å; angles 90.00, 90.00, 90.00 degrees
Fractional coordinates of all 12 atoms:
Y 0.250 0.651 0.079
Tl 0.250 0.781 0.399
Sr 0.250 0.516 0.681
Y 0.250 0.151 0.421
Tl 0.750 0.719 0.899
Sr 0.750 0.984 0.181
Tl 0.250 0.281 0.101
Y 0.750 0.849 0.579
Sr 0.250 0.016 0.819
Y 0.750 0.349 0.921
Sr 0.750 0.484 0.319
Tl 0.750 0.219 0.601

***

Relative calculated energies, zero for the most stable structure, unit eV/atom: *one* 0.253; *two* 0.000.

***

*one*
This record from Alexandria describes crystalline SrW3 at its relaxed geometry. The functional is GGA-PBEsol.

Values from the calculation:
The density of states at the Fermi level comes out at 3.8 states/eV per cell. As for the symmetry: Immm (71).

Cell lengths 3.060, 5.040, 5.664 Å; angles 116.42, 105.67, 90.00 degrees
Fractional coordinates of all 4 atoms:
Sr 0.000 0.500 0.000
W 0.773 0.773 0.547
W 0.227 0.227 0.453
W 0.500 0.000 0.000

***

*two*
This record from Alexandria describes crystalline SrW3 at its relaxed geometry. The functional is GGA-PBEsol.

Values from the calculation:
The density of states at the Fermi level comes out at 5.2 states/eV per cell. As for the symmetry: R-3m (166).

Cell lengths 2.831, 2.831, 10.715 Å; angles 82.41, 82.41, 60.00 degrees
Fractional coordinates of all 4 atoms:
Sr 0.000 0.000 0.000
W 0.241 0.241 0.277
W 0.500 0.500 0.500
W 0.759 0.759 0.723

***

*three*
This record from Alexandria describes crystalline SrW3 at its relaxed geometry. The functional is GGA-PBEsol.

Values from the calculation:
The density of states at the Fermi level comes out at 3.5 states/eV per cell. As for the symmetry: R-3m (166).

Cell lengths 2.711, 5.608, 5.608 Å; angles 117.45, 99.27, 99.27 degrees
Fractional coordinates of all 4 atoms:
Sr 0.000 0.000 0.000
W 0.000 0.500 0.500
W 0.500 0.500 0.000
W 0.500 0.000 0.500

***

Relative calculated energies, zero for the most stable structure, unit eV/atom: *one* 0.100; *two* 0.000; *three* 0.080.

***

*one*
This record from Alexandria describes crystalline Sr2YW at its relaxed geometry. The functional is GGA-PBEsol.

Values from the calculation:
The density of states at the Fermi level comes out at 7.7 states/eV per cell. As for the symmetry: F-43m (216).

Cell lengths 5.423, 5.423, 5.423 Å; angles 60.00, 60.00, 60.00 degrees
Each line ends with the local moment (μB).
Fractional coordinates of all 4 atoms:
W 0.500 0.500 0.500  1.05
Sr 0.750 0.750 0.750  0.03
Y 0.250 0.250 0.250  0.09
Sr 0.000 0.000 0.000  -0.02

***

*two*
This record from Alexandria describes crystalline Sr2YW at its relaxed geometry. The functional is GGA-PBEsol.

Values from the calculation:
The density of states at the Fermi level comes out at 5.3 states/eV per cell. As for the symmetry: Pmmm (47).

Cell lengths 3.170, 5.282, 6.658 Å; angles 90.00, 90.00, 90.00 degrees
Fractional coordinates of all 4 atoms:
Sr 0.000 0.000 0.228
Y 0.500 0.500 0.500
W 0.500 0.500 0.000
Sr 0.000 0.000 0.772

***

Relative calculated energies, zero for the most stable structure, unit eV/atom: *one* 0.000; *two* 0.058.

***

*one*
This record from Alexandria describes crystalline SrZnW2 at its relaxed geometry. The functional is GGA-PBEsol.

Values from the calculation:
The density of states at the Fermi level comes out at 3.0 states/eV per cell. As for the symmetry: Immm (71).

Cell lengths 2.714, 5.048, 6.119 Å; angles 114.36, 102.81, 90.00 degrees
Fractional coordinates of all 4 atoms:
Zn 0.500 0.000 0.000
Sr 0.000 0.500 0.000
W 0.780 0.780 0.560
W 0.220 0.220 0.440

***

*two*
This record from Alexandria describes crystalline SrZnW2 at its relaxed geometry. The functional is GGA-PBEsol.

Values from the calculation:
The density of states at the Fermi level comes out at 3.0 states/eV per cell. As for the symmetry: P4/mmm (123).

Cell lengths 3.924, 3.924, 4.925 Å; angles 90.00, 90.00, 90.00 degrees
Fractional coordinates of all 4 atoms:
Zn 0.500 0.500 0.500
W 0.000 0.500 0.000
W 0.500 0.000 0.000
Sr 0.000 0.000 0.500

***

Relative calculated energies, zero for the most stable structure, unit eV/atom: *one* 0.000; *two* 0.332.

***

*one*
This record from Alexandria describes crystalline Sr2ZnW at its relaxed geometry. The functional is GGA-PBEsol.

Values from the calculation:
The density of states at the Fermi level comes out at 4.3 states/eV per cell. As for the symmetry: Cm (8).

Cell lengths 3.151, 5.676, 6.138 Å; angles 108.69, 104.88, 90.00 degrees
Fractional coordinates of all 4 atoms:
Sr 0.971 0.934 0.942
Zn 0.209 0.765 0.418
Sr 0.776 0.312 0.552
W 0.544 0.489 0.088

***

*two*
This record from Alexandria describes crystalline Sr2ZnW at its relaxed geometry. The functional is GGA-PBEsol.

Values from the calculation:
The density of states at the Fermi level comes out at 6.2 states/eV per cell. As for the symmetry: P4mm (99).

Cell lengths 3.511, 3.511, 8.868 Å; angles 90.00, 90.00, 90.00 degrees
Fractional coordinates of all 4 atoms:
Sr 0.000 0.000 0.923
Zn 0.500 0.500 0.670
Sr 0.500 0.500 0.327
W 0.000 0.000 0.579

***

Relative calculated energies, zero for the most stable structure, unit eV/atom: *one* 0.073; *two* 0.000.

***

*one*
This record from Alexandria describes crystalline SrZr2W at its relaxed geometry. The functional is GGA-PBEsol.

Values from the calculation:
The density of states at the Fermi level comes out at 4.9 states/eV per cell. As for the symmetry: Cm (8).

Cell lengths 2.984, 5.145, 6.557 Å; angles 91.90, 90.00, 106.86 degrees
Fractional coordinates of all 4 atoms:
W 0.745 0.491 0.184
Sr 0.498 0.996 0.487
Zr 0.258 0.515 0.814
Zr 0.999 0.998 0.015

***

*two*
This record from Alexandria describes crystalline SrZr2W at its relaxed geometry. The functional is GGA-PBEsol.

Values from the calculation:
The density of states at the Fermi level comes out at 3.8 states/eV per cell. As for the symmetry: P4/mmm (123).

Cell lengths 3.346, 3.346, 9.172 Å; angles 90.00, 90.00, 90.00 degrees
Fractional coordinates of all 4 atoms:
Zr 0.000 0.000 0.333
Sr 0.500 0.500 0.000
Zr 0.000 0.000 0.667
W 0.500 0.500 0.500

***

Relative calculated energies, zero for the most stable structure, unit eV/atom: *one* 0.396; *two* 0.000.

***

*one*
This record from Alexandria describes crystalline SrY2 at its relaxed geometry. The functional is GGA-PBEsol.

Values from the calculation:
The density of states at the Fermi level comes out at 11.4 states/eV per cell. As for the symmetry: Fd-3m (227).

Cell lengths 6.845, 6.845, 6.845 Å; angles 60.00, 60.00, 60.00 degrees
Fractional coordinates of all 6 atoms:
Y 0.125 0.625 0.125
Sr 0.500 0.500 0.500
Y 0.125 0.125 0.125
Y 0.625 0.125 0.125
Y 0.125 0.125 0.625
Sr 0.750 0.750 0.750

***

*two*
This record from Alexandria describes crystalline SrY2 at its relaxed geometry. The functional is GGA-PBEsol.

Values from the calculation:
The density of states at the Fermi level comes out at 10.9 states/eV per cell. As for the symmetry: Cmcm (63).

Cell lengths 3.661, 5.787, 10.275 Å; angles 90.00, 100.26, 90.00 degrees
Fractional coordinates of all 6 atoms:
Y 0.546 0.250 0.093
Y 0.900 0.250 0.800
Y 0.454 0.750 0.907
Y 0.100 0.750 0.200
Sr 0.212 0.250 0.423
Sr 0.788 0.750 0.577

***

*three*
This record from Alexandria describes crystalline SrY2 at its relaxed geometry. The functional is GGA-PBEsol.

Values from the calculation:
The density of states at the Fermi level comes out at 5.9 states/eV per cell. As for the symmetry: Immm (71).

Cell lengths 3.620, 5.173, 6.451 Å; angles 113.64, 106.29, 90.00 degrees
Fractional coordinates of all 3 atoms:
Y 0.676 0.676 0.351
Sr 0.000 0.000 0.000
Y 0.324 0.324 0.649

***

Relative calculated energies, zero for the most stable structure, unit eV/atom: *one* 0.115; *two* 0.000; *three* 0.078.